Entry 1:
Material: Ca2Be4Si3Pd
Method: DFT, PBE
State: optimized geometry

Output
Total moment, μB per cell: 0.00
Space group: P-4m2 (115)
Raw formation energy, eV per formula unit: -3.42

Lattice parameters (Å, degrees): 3.8871 3.8871 9.9190 90.00 90.00 90.00
Sites, in units of the cell vectors:
Be1 0.0000 0.0000 0.0000
Be2 0.5000 0.0000 0.6354
Be3 0.5000 0.5000 0.0000
Be4 0.0000 0.5000 0.3646
Pd1 0.5000 0.5000 0.5000
Ca1 0.0000 0.5000 0.7565
Ca2 0.5000 0.0000 0.2435
Si1 0.0000 0.5000 0.1311
Si2 0.5000 0.0000 0.8689
Si3 0.0000 0.0000 0.5000

=====

Entry 2:
Material: CaBeSiPd3
Method: DFT, PBE
State: optimized geometry

Output
Total moment, μB per cell: 0.00
Space group: Cmcm (63)
Raw formation energy, eV per formula unit: -3.36

Lattice parameters (Å, degrees): 5.6627 6.3108 6.6272 118.43 90.00 90.00
Sites, in units of the cell vectors:
Ca1 0.7500 0.2731 0.5462
Ca2 0.2500 0.7269 0.4538
Pd1 0.2500 0.1775 0.3550
Pd2 0.5000 0.2757 0.0000
Pd3 0.5000 0.7243 0.0000
Pd4 0.0000 0.2757 0.0000
Pd5 0.0000 0.7243 0.0000
Pd6 0.7500 0.8225 0.6450
Be1 0.2500 0.9825 0.9649
Be2 0.7500 0.0175 0.0351
Si1 0.2500 0.3771 0.7542
Si2 0.7500 0.6229 0.2458

=====

Entry 3:
Material: Ca2BeSnPd6
Method: DFT, PBE
State: optimized geometry

Output
Total moment, μB per cell: 0.00
Formation enthalpy at 0 K, meV per atom: -421.3
Space group: Fm-3m (225)

Lattice parameters (Å, degrees): 6.5973 6.6040 6.6002 59.98 60.02 90.00
Sites, in units of the cell vectors:
Pd1 0.7272 0.2729 0.0000
Pd2 0.2729 0.2729 0.4542
Pd3 0.2728 0.7271 0.0000
Pd4 0.7275 0.7268 0.0000
Pd5 0.7271 0.7271 0.5458
Pd6 0.2725 0.2732 0.0000
Ca1 0.7501 0.2501 0.4997
Ca2 0.2499 0.7499 0.5003
Sn1 0.0000 0.0000 0.0000
Be1 0.5000 0.5000 0.0000

=====

Entry 4:
Material: CaYBePd2
Method: DFT, PBE
State: optimized geometry

Output
Total moment, μB per cell: 0.00
Formation enthalpy at 0 K, meV per atom: 1039.6
Space group: P4/mmm (123)

Lattice parameters (Å, degrees): 5.0069 6.0872 5.0069 90.00 90.00 90.00
Sites, in units of the cell vectors:
Pd1 0.5000 0.0000 0.0000
Pd2 0.0000 0.0000 0.5000
Be1 0.5000 0.5000 0.5000
Y1 0.0000 0.0000 0.0000
Ca1 0.0000 0.5000 0.0000

=====

Entry 5:
Material: Ca2Be2ZnPd5
Method: DFT, PBE
State: optimized geometry

Output
Total moment, μB per cell: 0.00
Formation enthalpy at 0 K, meV per atom: -630.5
Space group: P4/mbm (127)

Lattice parameters (Å, degrees): 3.3137 9.7719 9.7719 90.00 90.00 90.00
Sites, in units of the cell vectors:
Zn1 0.0000 0.5000 0.5000
Zn2 0.0000 0.0000 0.0000
Be1 0.0000 0.1221 0.6221
Be2 0.0000 0.8779 0.3779
Be3 0.0000 0.6221 0.8779
Be4 0.0000 0.3779 0.1221
Ca1 0.0000 0.8231 0.6769
Ca2 0.0000 0.6769 0.1769
Ca3 0.0000 0.3231 0.8231
Ca4 0.0000 0.1769 0.3231
Pd1 0.5000 0.4330 0.2870
Pd2 0.5000 0.2130 0.0670
Pd3 0.5000 0.0000 0.5000
Pd4 0.5000 0.7130 0.4330
Pd5 0.5000 0.9330 0.2130
Pd6 0.5000 0.7870 0.9330
Pd7 0.5000 0.2870 0.5670
Pd8 0.5000 0.0670 0.7870
Pd9 0.5000 0.5000 0.0000
Pd10 0.5000 0.5670 0.7130

=====

Entry 6:
Material: CaBeZnPd2
Method: DFT, PBE
State: optimized geometry

Output
Total moment, μB per cell: 0.00
Formation enthalpy at 0 K, meV per atom: -377.9
Space group: P4/mmm (123)

Lattice parameters (Å, degrees): 4.4309 4.3619 4.4309 90.00 90.00 90.00
Sites, in units of the cell vectors:
Zn1 0.0000 0.5000 0.0000
Ca1 0.5000 0.5000 0.5000
Be1 0.0000 0.0000 0.0000
Pd1 0.5000 0.0000 0.0000
Pd2 0.0000 0.0000 0.5000

=====

Entry 7:
Material: Ca2BeZnPd6
Method: DFT, PBE
State: optimized geometry

Output
Total moment, μB per cell: 0.00
Formation enthalpy at 0 K, meV per atom: -449.9
Space group: C2/m (12)

Lattice parameters (Å, degrees): 6.4017 6.4100 6.4052 59.95 60.00 89.92
Sites, in units of the cell vectors:
Pd1 0.7349 0.2650 0.0000
Pd2 0.2649 0.2651 0.0001
Pd3 0.2650 0.2650 0.4700
Pd4 0.2651 0.7350 0.0000
Pd5 0.7351 0.7349 0.9999
Pd6 0.7350 0.7350 0.5300
Zn1 0.0000 0.0000 0.0000
Ca1 0.2499 0.7500 0.5001
Ca2 0.7501 0.2501 0.4999
Be1 0.5000 0.5000 0.0000

=====

Entry 8:
Material: CaZr2BePd
Method: DFT, PBE
State: optimized geometry

Output
Total moment, μB per cell: 1.03
Formation enthalpy at 0 K, meV per atom: 378.6
Space group: P4/mmm (123)

Lattice parameters (Å, degrees): 5.1822 4.4791 5.1822 90.00 90.00 90.00
Site moments in Bohr magnetons follow the coordinates.
Sites, in units of the cell vectors:
Zr1 0.0000 0.0000 0.5000  0.20
Zr2 0.5000 0.0000 0.0000  0.36
Pd1 0.0000 0.0000 0.0000  0.02
Ca1 0.5000 0.5000 0.5000  0.06
Be1 0.0000 0.5000 0.0000  -0.01

=====

Entry 9:
Material: CaPmBe2Si2
Method: DFT, PBE
State: optimized geometry

Output
Total moment, μB per cell: 0.00
Space group: P-3m1 (164)
Raw formation energy, eV per formula unit: -2.87

Lattice parameters (Å, degrees): 3.9396 3.9396 8.4379 90.00 90.00 120.00
Sites, in units of the cell vectors:
Si1 0.3333 0.6667 0.2456
Si2 0.6667 0.3333 0.7544
Ca1 0.0000 0.0000 0.5000
Be1 0.6667 0.3333 0.2414
Be2 0.3333 0.6667 0.7586
Pm1 0.0000 0.0000 0.0000

=====

Entry 10:
Material: CaPr2Be
Method: DFT, PBE
State: optimized geometry

Output
Total moment, μB per cell: 0.00
Formation enthalpy at 0 K, meV per atom: 140.3
Space group: P4/mmm (123)
Relative energy among the computed polymorphs, meV/atom: 0.0

Lattice parameters (Å, degrees): 3.6790 3.6790 9.0496 90.00 90.00 90.00
Sites, in units of the cell vectors:
Ca1 0.5000 0.5000 0.5000
Pr1 0.0000 0.0000 0.8192
Pr2 0.0000 0.0000 0.1808
Be1 0.5000 0.5000 0.0000

=====

Entry 11:
Material: CaPr2Be
Method: DFT, PBE
State: optimized geometry

Output
Total moment, μB per cell: 0.00
Formation enthalpy at 0 K, meV per atom: 770.2
Space group: R-3m (166)
Relative energy among the computed polymorphs, meV/atom: 629.8

Lattice parameters (Å, degrees): 3.5332 3.5332 12.3824 81.80 81.80 60.00
Sites, in units of the cell vectors:
Pr1 0.9189 0.9189 0.2433
Pr2 0.0811 0.0811 0.7567
Be1 0.0000 0.0000 0.0000
Ca1 0.5000 0.5000 0.5000

=====

Entry 12:
Material: CaPrBeZn
Method: DFT, PBE
State: optimized geometry

Output
Total moment, μB per cell: 0.00
Formation enthalpy at 0 K, meV per atom: -0.6
Space group: F-43m (216)

Lattice parameters (Å, degrees): 5.1153 5.1153 5.1153 60.00 60.00 60.00
Sites, in units of the cell vectors:
Be1 0.5000 0.5000 0.5000
Zn1 0.0000 0.0000 0.0000
Ca1 0.2500 0.2500 0.2500
Pr1 0.7500 0.7500 0.7500